Compound: Sr3Pr
Source: the Alexandria database
Functional: GGA-PBE
Structure: optimized geometry

Unit cell a=6.4467 b=6.4467 c=6.4502 alpha=119.98 beta=119.98 gamma=90.00
With the nearest neighbours (Å) after each atom.
Fractional coordinates of all 4 atoms:
Pr: 0.0000 0.0000 0.0000  8 Sr 3.95
Sr: 0.7500 0.2500 0.5000  4 Sr 3.95, 4 Pr 3.95
Sr: 0.5000 0.5000 0.0000  8 Sr 3.95
Sr: 0.2500 0.7500 0.5000  4 Pr 3.95, 4 Sr 3.95

* crystal system: cubic
* offset from the most stable computed form: 7 meV per atom
* formation enthalpy at 0 K: 0.14 eV/atom
* DFT total energy: -0.0852 Ha/atom
* symmetry: Fm-3m (225)

---

Compound: KSrCu2H
Source: the Alexandria database
Functional: GGA-PBE
Structure: optimized geometry

Unit cell a=5.2703 b=6.9657 c=5.2703 alpha=90.00 beta=90.00 gamma=90.00
With the nearest neighbours (Å) after each atom.
Fractional coordinates of all 5 atoms:
H: 0.5000 0.5000 0.5000  4 Sr 3.73
K: 0.0000 0.0000 0.0000  4 Cu 2.64
Cu: 0.0000 0.0000 0.5000  2 K 2.64
Cu: 0.5000 0.0000 0.0000  2 K 2.64
Sr: 0.0000 0.5000 0.0000  2 K 3.48, 4 H 3.73

* crystal system: tetragonal
* DFT total energy: -0.0561 Ha/atom
* symmetry: P4/mmm (123)

---

Compound: Cs2PuCu2Br6
Source: the Alexandria database
Functional: GGA-PBE
Structure: optimized geometry

Unit cell a=8.0490 b=8.0431 c=8.4679 alpha=117.55 beta=90.00 gamma=120.02
With the nearest neighbours (Å) after each atom.
Fractional coordinates of all 11 atoms:
Cs: 0.7307 0.4614 0.2176  7 Br 3.72-4.11
Cs: 0.2693 0.5386 0.7824  7 Br 3.72-4.11
Br: 0.2514 0.5028 0.3276  1 Cu 2.44
Br: 0.7486 0.4972 0.6724  1 Cu 2.44
Br: 0.2161 0.9259 0.2128  1 Cu 2.43
Br: 0.7098 0.9259 0.2128  1 Cu 2.43
Br: 0.2902 0.0741 0.7872  1 Cu 2.43
Br: 0.7839 0.0741 0.7872  1 Cu 2.43
Cu: 0.9549 0.9098 0.8229  3 Br 2.43-2.44, 1 Cu 2.56
Cu: 0.0451 0.0902 0.1771  3 Br 2.43-2.44, 1 Cu 2.56
Pu: 0.5000 0.0000 0.5000  6 Br 2.95-2.96

* crystal system: monoclinic
* DFT total energy: -0.1560 Ha/atom
* raw formation energy: -1.129 eV per atom
* symmetry: C2/m (12)

---

Total magnetic moment in μB per cell, matching the order above: 0.00, 0.00, 5.99